Record 1
Ce2AgHg4 after structural relaxation, computed with PBE.

Results
Total magnetization in μB per cell: 5.0
Energy of formation in eV/atom: -0.1963
E above lowest polymorph in meV per atom: 0
Volume in Å³ per cell: 360
Calculated density in g/cm³: 10.98

a b c (Å): 6.1175 6.2636 9.6399
angles (deg): 90.00 102.84 90.00
Space group P2_1/m (No. 11)
Symmetry-distinct sites (fractional):
Ce1 0.1311 0.2500 0.4158 [2 per cell]
Ce2 0.3149 0.7500 0.0165 [2 per cell]
Ag1 0.0790 0.2500 0.8056 [2 per cell]
Hg1 0.2035 0.2500 0.1045 [2 per cell]
Hg2 0.2975 0.7500 0.4224 [2 per cell]
Hg3 0.3923 0.5145 0.7082 [4 per cell]

---

Record 2
Ce2AgHg6 after structural relaxation, computed with PBE.

Results
Total magnetization in μB per cell: 4.9
Energy of formation in eV/atom: -0.1058
Volume in Å³ per cell: 482
Calculated density in g/cm³: 10.97

a b c (Å): 11.4324 8.2473 5.6980
angles (deg): 90.00 116.28 90.00
Space group C2/m (No. 12)
Symmetry-distinct sites (fractional):
Ce1 0.1820 0.0000 0.2770 [4 per cell]
Ag1 0.0000 0.5000 0.5000 [2 per cell]
Hg1 0.0000 0.3254 0.0000 [4 per cell]
Hg2 0.1445 0.1868 0.7240 [8 per cell]

---

Record 3
Ce2Ag2Hg3 after structural relaxation, computed with PBE.

Results
Total magnetization in μB per cell: 8.7
Energy of formation in eV/atom: -0.1757
E above lowest polymorph in meV per atom: 0
Volume in Å³ per cell: 710
Calculated density in g/cm³: 10.27

a b c (Å): 4.0147 20.5735 8.5983
angles (deg): 90.00 90.00 90.00
Space group Cmcm (No. 63)
Symmetry-distinct sites (fractional):
Ce1 0.0000 0.0617 0.2500 [4 per cell]
Ce2 0.0000 0.1595 0.7500 [4 per cell]
Ag1 0.0000 0.3082 0.5334 [8 per cell]
Hg1 0.0000 0.2220 0.2500 [4 per cell]
Hg2 0.0000 0.4393 0.0752 [8 per cell]

---

Record 4
Ce5Ag4Hg2 after structural relaxation, computed with PBE.

Results
Total magnetization in μB per cell: 10.6
Energy of formation in eV/atom: -0.1266
Volume in Å³ per cell: 548
Calculated density in g/cm³: 9.29

a b c (Å): 9.6845 6.7165 8.4430
angles (deg): 90.00 93.72 90.00
Space group C2/m (No. 12)
Symmetry-distinct sites (fractional):
Ce1 0.0000 0.0000 0.0000 [2 per cell]
Ce2 0.1387 0.2693 0.7496 [8 per cell]
Ag1 0.1246 0.5000 0.4155 [4 per cell]
Ag2 0.1319 0.5000 0.0795 [4 per cell]
Hg1 0.1141 0.0000 0.3936 [4 per cell]

---

Record 5
CeAg6Hg6 after structural relaxation, computed with PBE.

Results
Total magnetization in μB per cell: 2.6
Energy of formation in eV/atom: -0.0418
Volume in Å³ per cell: 568
Calculated density in g/cm³: 11.64

a b c (Å): 5.6658 9.8974 10.1305
angles (deg): 90.00 90.00 90.00
Space group Immm (No. 71)
Symmetry-distinct sites (fractional):
Ce1 0.0000 0.0000 0.0000 [2 per cell]
Ag1 0.0000 0.2587 0.5000 [4 per cell]
Ag2 0.2500 0.2500 0.2500 [8 per cell]
Hg1 0.0000 0.0000 0.3380 [4 per cell]
Hg2 0.0000 0.3433 0.0000 [4 per cell]
Hg3 0.0000 0.5000 0.3260 [4 per cell]

---

Record 6
Ce2AgHg after structural relaxation, computed with PBE.

Results
Total magnetization in μB per cell: 2.4
Energy of formation in eV/atom: -0.1666
Volume in Å³ per cell: 107
Calculated density in g/cm³: 9.15

a b c (Å): 3.9278 3.9278 6.9256
angles (deg): 90.00 90.00 90.00
Space group P4/mmm (No. 123)
Symmetry-distinct sites (fractional):
Ce1 0.0000 0.0000 0.2429 [2 per cell]
Ag1 0.5000 0.5000 0.0000 [1 per cell]
Hg1 0.5000 0.5000 0.5000 [1 per cell]

---

- What is the formula in the sixth record?
  Ce2AgHg

---

- Look up the calculated density of the sixth one.
  9.15 g/cm³

---

- Among the records above, which one has the highest total magnetization?
  Ce5Ag4Hg2

---

- Which of these has the highest calculated density?
  CeAg6Hg6